# 1
# Pm2ZrSn3 (GGA-PBE, optimized geometry)
# Symmetry: No. 15
# DOS at the Fermi energy (states/eV/f.u.): 4.8
# Volume (Å³ per atom): 28.1
# Formation enthalpy at 0 K (eV per formula unit): -3.37
# M_tot (μB/cell): 0.00
data_Pm2ZrSn3
_chemical_formula_sum 'Pm4 Zr2 Sn6'
_cell_length_a 8.138
_cell_length_b 8.041
_cell_length_c 8.041
_cell_angle_alpha 133.41
_cell_angle_beta 100.77
_cell_angle_gamma 100.77
_space_group_name_H-M_alt 'P 1'
_space_group_IT_number 1
loop_
_space_group_symop_operation_xyz
'x,y,z'
loop_
_atom_site_label
_atom_site_fract_x
_atom_site_fract_y
_atom_site_fract_z
Sn1 0.038 0.249 0.404
Sn2 0.538 0.404 0.249
Pm1 0.250 0.926 0.074
Sn3 0.500 0.000 0.500
Pm2 0.250 0.225 0.775
Sn4 0.462 0.596 0.751
Zr1 0.750 0.401 0.599
Pm3 0.750 0.775 0.225
Zr2 0.250 0.599 0.401
Sn5 0.000 0.500 0.000
Sn6 0.962 0.751 0.596
Pm4 0.750 0.074 0.926

# 2
# PmZr4Sn4 (GGA-PBE, optimized geometry)
# Symmetry: No. 86
# DOS at the Fermi energy (states/eV/f.u.): 4.5
# Volume (Å³ per atom): 29.1
# Formation enthalpy at 0 K (eV per formula unit): -2.09
# M_tot (μB/cell): 0.00
data_PmZr4Sn4
_chemical_formula_sum 'Pm2 Zr8 Sn8'
_cell_length_a 5.692
_cell_length_b 9.590
_cell_length_c 9.590
_cell_angle_alpha 90.00
_cell_angle_beta 90.00
_cell_angle_gamma 90.00
_space_group_name_H-M_alt 'P 1'
_space_group_IT_number 1
loop_
_space_group_symop_operation_xyz
'x,y,z'
loop_
_atom_site_label
_atom_site_fract_x
_atom_site_fract_y
_atom_site_fract_z
Pm1 0.500 0.500 0.500
Sn1 0.069 0.846 0.705
Sn2 0.931 0.295 0.846
Sn3 0.569 0.795 0.346
Zr1 0.915 0.395 0.126
Zr2 0.085 0.126 0.605
Sn4 0.931 0.705 0.154
Sn5 0.431 0.654 0.795
Pm2 0.000 0.000 0.000
Zr3 0.085 0.874 0.395
Sn6 0.431 0.346 0.205
Zr4 0.585 0.895 0.626
Zr5 0.415 0.374 0.895
Zr6 0.915 0.605 0.874
Zr7 0.585 0.105 0.374
Sn7 0.569 0.205 0.654
Sn8 0.069 0.154 0.295
Zr8 0.415 0.626 0.105

# 3
# Pm3Zr2Sn3 (GGA-PBE, optimized geometry)
# Symmetry: No. 193
# DOS at the Fermi energy (states/eV/f.u.): 9.8
# Volume (Å³ per atom): 27.1
# Formation enthalpy at 0 K (eV per formula unit): -5.09
# M_tot (μB/cell): 0.00
data_Pm3Zr2Sn3
_chemical_formula_sum 'Pm6 Zr4 Sn6'
_cell_length_a 6.148
_cell_length_b 9.032
_cell_length_c 9.032
_cell_angle_alpha 120.00
_cell_angle_beta 90.00
_cell_angle_gamma 90.00
_space_group_name_H-M_alt 'P 1'
_space_group_IT_number 1
loop_
_space_group_symop_operation_xyz
'x,y,z'
loop_
_atom_site_label
_atom_site_fract_x
_atom_site_fract_y
_atom_site_fract_z
Sn1 0.750 0.597 0.000
Pm1 0.250 0.000 0.757
Zr1 0.500 0.667 0.333
Pm2 0.250 0.757 0.000
Sn2 0.250 0.403 0.000
Pm3 0.750 0.243 0.000
Zr2 0.000 0.333 0.667
Pm4 0.750 0.757 0.757
Pm5 0.750 0.000 0.243
Sn3 0.250 0.597 0.597
Sn4 0.750 0.000 0.597
Zr3 0.000 0.667 0.333
Sn5 0.750 0.403 0.403
Pm6 0.250 0.243 0.243
Zr4 0.500 0.333 0.667
Sn6 0.250 0.000 0.403

# 4
# Pm3ZrSn6 (GGA-PBE, optimized geometry)
# Symmetry: No. 14
# DOS at the Fermi energy (states/eV/f.u.): 6.8
# Volume (Å³ per atom): 28.6
# Formation enthalpy at 0 K (eV per formula unit): -4.09
# M_tot (μB/cell): 0.00
data_Pm3ZrSn6
_chemical_formula_sum 'Pm6 Zr2 Sn12'
_cell_length_a 7.052
_cell_length_b 9.649
_cell_length_c 8.432
_cell_angle_alpha 90.00
_cell_angle_beta 95.09
_cell_angle_gamma 90.00
_space_group_name_H-M_alt 'P 1'
_space_group_IT_number 1
loop_
_space_group_symop_operation_xyz
'x,y,z'
loop_
_atom_site_label
_atom_site_fract_x
_atom_site_fract_y
_atom_site_fract_z
Pm1 0.049 0.592 0.276
Sn1 0.797 0.715 0.548
Pm2 0.951 0.408 0.724
Pm3 0.000 0.000 0.500
Sn2 0.703 0.215 0.952
Sn3 0.883 0.697 0.915
Zr1 0.000 0.000 0.000
Pm4 0.549 0.908 0.776
Sn4 0.203 0.285 0.452
Sn5 0.771 0.335 0.305
Sn6 0.229 0.665 0.695
Sn7 0.297 0.785 0.048
Sn8 0.271 0.165 0.805
Pm5 0.500 0.500 0.000
Sn9 0.617 0.197 0.585
Sn10 0.729 0.835 0.195
Zr2 0.500 0.500 0.500
Sn11 0.117 0.303 0.085
Sn12 0.383 0.803 0.415
Pm6 0.451 0.092 0.224

# 5
# Pm12ZrSn7 (GGA-PBE, optimized geometry)
# Symmetry: No. 148
# DOS at the Fermi energy (states/eV/f.u.): 26.3
# Volume (Å³ per atom): 30.8
# Formation enthalpy at 0 K (eV per formula unit): -8.59
# M_tot (μB/cell): 0.00
data_Pm12ZrSn7
_chemical_formula_sum 'Pm12 Zr1 Sn7'
_cell_length_a 9.232
_cell_length_b 9.232
_cell_length_c 9.232
_cell_angle_alpha 109.03
_cell_angle_beta 109.03
_cell_angle_gamma 109.03
_space_group_name_H-M_alt 'P 1'
_space_group_IT_number 1
loop_
_space_group_symop_operation_xyz
'x,y,z'
loop_
_atom_site_label
_atom_site_fract_x
_atom_site_fract_y
_atom_site_fract_z
Sn1 0.217 0.038 0.358
Pm1 0.638 0.109 0.913
Pm2 0.913 0.638 0.109
Zr1 0.000 0.000 0.000
Pm3 0.891 0.087 0.362
Pm4 0.438 0.357 0.774
Pm5 0.109 0.913 0.638
Sn2 0.038 0.358 0.217
Sn3 0.642 0.783 0.962
Pm6 0.357 0.774 0.438
Pm7 0.643 0.226 0.562
Sn4 0.500 0.500 0.500
Pm8 0.562 0.643 0.226
Sn5 0.962 0.642 0.783
Sn6 0.358 0.217 0.038
Pm9 0.226 0.562 0.643
Pm10 0.774 0.438 0.357
Pm11 0.362 0.891 0.087
Pm12 0.087 0.362 0.891
Sn7 0.783 0.962 0.642

# 6
# Pm2ZrSn5 (GGA-PBE, optimized geometry)
# Symmetry: No. 42
# DOS at the Fermi energy (states/eV/f.u.): 4.6
# Volume (Å³ per atom): 25.9
# Formation enthalpy at 0 K (eV per formula unit): -3.94
# M_tot (μB/cell): 0.00
data_Pm2ZrSn5
_chemical_formula_sum 'Pm2 Zr1 Sn5'
_cell_length_a 6.792
_cell_length_b 6.792
_cell_length_c 6.580
_cell_angle_alpha 121.19
_cell_angle_beta 121.19
_cell_angle_gamma 89.87
_space_group_name_H-M_alt 'P 1'
_space_group_IT_number 1
loop_
_space_group_symop_operation_xyz
'x,y,z'
loop_
_atom_site_label
_atom_site_fract_x
_atom_site_fract_y
_atom_site_fract_z
Pm1 0.722 0.222 0.444
Zr1 0.222 0.222 0.444
Sn1 0.722 0.222 0.944
Sn2 0.723 0.723 0.445
Sn3 0.222 0.222 0.944
Pm2 0.222 0.722 0.444
Sn4 0.722 0.722 0.944
Sn5 0.222 0.722 0.944

# 7
# PmZr2Sn (GGA-PBE, optimized geometry)
# Symmetry: No. 123
# DOS at the Fermi energy (states/eV/f.u.): 5.3
# Volume (Å³ per atom): 24.5
# Formation enthalpy at 0 K (eV per formula unit): -1.08
# M_tot (μB/cell): 0.00
data_PmZr2Sn
_chemical_formula_sum 'Pm1 Zr2 Sn1'
_cell_length_a 4.559
_cell_length_b 4.638
_cell_length_c 4.638
_cell_angle_alpha 90.00
_cell_angle_beta 90.00
_cell_angle_gamma 90.00
_space_group_name_H-M_alt 'P 1'
_space_group_IT_number 1
loop_
_space_group_symop_operation_xyz
'x,y,z'
loop_
_atom_site_label
_atom_site_fract_x
_atom_site_fract_y
_atom_site_fract_z
Sn1 0.500 0.000 0.000
Zr1 0.000 0.000 0.500
Zr2 0.000 0.500 0.000
Pm1 0.500 0.500 0.500

# 8
# SrPm4 (GGA-PBE, optimized geometry)
# Symmetry: No. 221
# DOS at the Fermi energy (states/eV/f.u.): 8.3
# Volume (Å³ per atom): 40.2
# Formation enthalpy at 0 K (eV per formula unit): 4.61
# M_tot (μB/cell): 0.00
data_SrPm4
_chemical_formula_sum 'Sr1 Pm4'
_cell_length_a 5.857
_cell_length_b 5.857
_cell_length_c 5.857
_cell_angle_alpha 90.00
_cell_angle_beta 90.00
_cell_angle_gamma 90.00
_space_group_name_H-M_alt 'P 1'
_space_group_IT_number 1
loop_
_space_group_symop_operation_xyz
'x,y,z'
loop_
_atom_site_label
_atom_site_fract_x
_atom_site_fract_y
_atom_site_fract_z
Pm1 0.500 0.500 0.000
Pm2 0.500 0.000 0.500
Pm3 0.000 0.000 0.000
Sr1 0.500 0.500 0.500
Pm4 0.000 0.500 0.500